(1)
Compound: Ce2NpGa6
Source: Alexandria
Functional: PBE-GGA
Structure: relaxed

Results
The total magnetization comes out at 4.92 μB/cell. The value obtained for the total DFT energy (no corrections) is -5.176 eV/atom. The density of states at the Fermi level is 18.97 states/eV per cell. The value obtained for the formation energy is -0.40 eV per atom. As for the space-group type: P6/mmm.

Lattice parameters (Å, degrees): 7.821 7.821 3.554 90.00 90.00 120.00
Fractional positions:
Ce: 0.333 0.667 0.000
Ce: 0.667 0.333 0.000
Np: 0.000 0.000 0.000
Ga: 0.000 0.332 0.500
Ga: 0.000 0.668 0.500
Ga: 0.332 0.000 0.500
Ga: 0.332 0.332 0.500
Ga: 0.668 0.000 0.500
Ga: 0.668 0.668 0.500


(2)
Compound: CeNpGa6
Source: Alexandria
Functional: PBE-GGA
Structure: relaxed

Results
The total magnetization comes out at 4.53 μB/cell. The value obtained for the total DFT energy (no corrections) is -4.980 eV/atom. The density of states at the Fermi level is 13.09 states/eV per cell. The value obtained for the formation energy is -0.35 eV per atom. As for the space-group type: P4/mmm.

Lattice parameters (Å, degrees): 4.302 4.302 8.626 90.00 90.00 90.00
Fractional positions:
Ce: 0.000 0.000 0.000
Np: 0.000 0.000 0.500
Ga: 0.000 0.500 0.255
Ga: 0.000 0.500 0.745
Ga: 0.500 0.000 0.255
Ga: 0.500 0.000 0.745
Ga: 0.500 0.500 0.000
Ga: 0.500 0.500 0.500


(3)
Compound: CeNpGa4
Source: Alexandria
Functional: PBE-GGA
Structure: relaxed

Results
The total magnetization comes out at 5.48 μB/cell. The value obtained for the total DFT energy (no corrections) is -5.512 eV/atom. The density of states at the Fermi level is 13.91 states/eV per cell. The value obtained for the formation energy is -0.35 eV per atom. As for the space-group type: F-43m.

Lattice parameters (Å, degrees): 5.517 5.517 5.517 60.00 60.00 60.00
Fractional positions:
Ce: 0.000 0.000 0.000
Np: 0.750 0.750 0.750
Ga: 0.375 0.375 0.375
Ga: 0.375 0.375 0.874
Ga: 0.375 0.874 0.375
Ga: 0.874 0.375 0.375


(4)
Compound: Ce3NpGa8
Source: Alexandria
Functional: PBE-GGA
Structure: relaxed

Results
The total magnetization comes out at 7.14 μB/cell. The value obtained for the total DFT energy (no corrections) is -5.027 eV/atom. The density of states at the Fermi level is 19.93 states/eV per cell. The value obtained for the formation energy is -0.45 eV per atom. As for the space-group type: R3m.

Lattice parameters (Å, degrees): 9.437 9.437 9.437 34.57 34.57 34.57
Fractional positions:
Ce: 0.000 0.000 0.000
Ce: 0.123 0.123 0.123
Ce: 0.613 0.613 0.613
Np: 0.505 0.505 0.505
Ga: 0.060 0.060 0.561
Ga: 0.060 0.561 0.060
Ga: 0.062 0.560 0.560
Ga: 0.310 0.310 0.310
Ga: 0.560 0.062 0.560
Ga: 0.560 0.560 0.062
Ga: 0.561 0.060 0.060
Ga: 0.811 0.811 0.811